Record 1
Entry from Alexandria via LeMat-Bulk: an optimized crystal structure of Tb12Tm5Mg2 (PBE-GGA).

Output
- spin magnetization (μB/cell) = 0.00
- E (Ha/atom) = -0.153
- DOS at the Fermi energy (states/eV per atom) = 1.62
- DFT formation energy (meV/atom) = 104
- SG = C2/m (12)

```
19
Lattice="7.837 -4.527 0.000 7.837 4.527 0.000 -0.113 0.000 8.347" Properties=species:S:1:pos:R:3 pbc="T T T"
Tb 0.872 0.000 2.805
Tb 5.841 2.764 2.766
Tb 5.350 1.680 6.329
Tb 9.720 2.764 5.580
Tb 6.440 0.000 0.913
Tb 10.211 1.680 2.018
Tb 5.350 -1.680 6.329
Tb 9.121 0.000 7.433
Tb 5.841 -2.764 2.766
Tb 10.211 -1.680 2.018
Tb 9.720 -2.764 5.580
Tb 14.689 0.000 5.541
Tm 3.124 0.000 0.098
Tm 4.117 0.000 3.523
Tm 7.781 0.000 4.173
Tm 11.445 0.000 4.823
Tm 12.437 0.000 8.249
Mg 7.837 2.981 0.000
Mg 7.837 -2.981 0.000
```

***

Record 2
Entry from Alexandria via LeMat-Bulk: an optimized crystal structure of TbEr2TmP4 (PBE-GGA).

Output
- spin magnetization (μB/cell) = 0.00
- E (Ha/atom) = -0.242
- DOS at the Fermi energy (states/eV per atom) = 0.12
- DFT formation energy (meV/atom) = -1610
- SG = P2/m (10)

```
8
Lattice="6.890 0.000 0.000 0.000 3.980 0.000 -2.296 0.000 6.496" Properties=species:S:1:pos:R:3 pbc="T T T"
Tb 0.000 0.000 0.000
Er -1.148 1.990 3.248
Er 2.297 0.000 3.248
Tm 3.445 1.990 0.000
P 0.016 0.000 4.870
P 1.164 1.990 1.638
P 3.430 1.990 4.858
P 4.578 0.000 1.626
```